Entry from Alexandria via LeMat-Bulk: TmPuTh2 after structural relaxation (GGA-PBE).

Cell: 3.4203 3.4203 36.9325 Å, 90.00 90.00 120.00°
Last column: nearest neighbours and their distance in Å.
Space group R-3m (No. 166, hexagonal axes)
One atom of each set of equivalent atoms:
Tm  0.0000  0.0000  0.0000 x3  2 Th 3.25, 6 Tm 3.42
Pu  0.0000  0.0000  0.5000 x3  6 Pu 3.42, 6 Th 3.52
Th  0.0000  0.0000  0.0879 x6  1 Tm 3.25, 6 Th 3.42, 3 Pu 3.52

Output
Crystal system   trigonal
E above lowest polymorph   223 meV per atom
E_form   0.31 eV per atom

***

Entry from Alexandria via LeMat-Bulk: LiCo4 after structural relaxation (GGA-PBE).

Cell: 3.8442 3.8442 3.8442 Å, 90.00 90.00 90.00°
Last column: nearest neighbours and their distance in Å.
Space group Pm-3m (No. 221)
One atom of each set of equivalent atoms:
Li  0.0000  0.0000  0.0000 x1  6 Co 1.92
Co  0.0000  0.0000  0.5000 x3  2 Li 1.92
Co  0.5000  0.5000  0.5000 x1  12 Co 2.72

Output
Crystal system   cubic
E above lowest polymorph   858 meV per atom
E_form   0.99 eV per atom

***

Entry from Alexandria via LeMat-Bulk: HfHgP2S after structural relaxation (GGA-PBE).

Cell: 5.0777 5.0777 4.8641 Å, 90.00 90.00 90.00°
Last column: nearest neighbours and their distance in Å.
Space group P4/mmm (No. 123)
One atom of each set of equivalent atoms:
Hf  0.0000  0.0000  0.0000 x1  2 S 2.43, 4 P 2.54
Hg  0.5000  0.5000  0.5000 x1  8 P 3.52, 4 S 3.59
P  0.0000  0.5000  0.0000 x2  2 Hf 2.54
S  0.0000  0.0000  0.5000 x1  2 Hf 2.43

Output
Crystal system   tetragonal
E above lowest polymorph   0 meV per atom
Formation energy (no corrections)   0.1123 eV per atom

***

Entry from Alexandria via LeMat-Bulk: Tb2Ge7Rh12 after structural relaxation (GGA-PBE).

Cell: 9.9738 9.9738 3.9159 Å, 90.00 90.00 120.00°
Last column: nearest neighbours and their distance in Å.
Space group P-3 (No. 147)
One atom of each set of equivalent atoms:
Tb  0.3333  0.6667  0.2495 x2  6 Ge 3.12-3.13, 9 Rh 3.17-3.49
Ge  0.0000  0.0000  0.5000 x1  6 Rh 2.47
Ge  0.1145  0.7110  0.7501 x6  7 Rh 2.45-2.57
Rh  0.0618  0.4432  0.7511 x6  4 Ge 2.45-2.57
Rh  0.1189  0.2629  0.2515 x6  4 Ge 2.47-2.51

Output
Crystal system   trigonal
E_form   -0.71 eV per atom

***

Number 1: M_tot 18.04 μB per cell, total energy -0.5956 Ry per atom. Number 2: M_tot 6.20 μB per cell, total energy -0.3735 Ry per atom. Number 3: M_tot 0.30 μB per cell, total energy -0.3622 Ry per atom. Number 4: M_tot 0.00 μB per cell, total energy -0.5068 Ry per atom.